Here is a relaxed K2HfV crystal from Alexandria via LeMat-Bulk. Energies are from GGA-PBE.

a = 8.1734 Å, b = 8.1734 Å, c = 8.1734 Å
α = 90.00°, β = 90.00°, γ = 90.00°
Closest atoms and distances in Å follow each position.
Space group Fm-3m (No. 225)
Symmetry-distinct sites (fractional):
K (0.2500, 0.2500, 0.2500)  4 V 3.54, 4 Hf 3.54
Hf (0.0000, 0.0000, 0.0000)  8 K 3.54
V (0.0000, 0.0000, 0.5000)  8 K 3.54

Results
DFT formation energy (eV/f.u.): 7.3
Polymorph energy (0 for the lowest one) (eV/atom): 0.321
Electronic total energy (eV for the cell shown): -56.00

Here is a relaxed Ga2Ag5Au2 crystal from Alexandria via LeMat-Bulk. Energies are from GGA-PBE.

a = 16.2340 Å, b = 7.1373 Å, c = 5.8178 Å
α = 90.00°, β = 90.00°, γ = 90.00°
Closest atoms and distances in Å follow each position.
Space group Ima2 (No. 46)
Symmetry-distinct sites (fractional):
Ga (0.0334, 0.1536, 0.0000)  1 Ga 2.45, 1 Au 2.56, 2 Ag 2.64-2.67
Ag (0.1153, 0.7111, 0.7548)  2 Ga 2.86-2.97, 4 Au 2.87-3.11, 4 Ag 2.90-3.10
Ag (0.1636, 0.2428, 0.2501)  2 Ga 2.64-2.67, 5 Ag 2.80-2.96, 1 Au 2.94
Ag (0.2500, 0.5497, 0.4927)  3 Au 2.82-3.00, 8 Ag 2.90-3.10
Au (0.0000, 0.0000, 0.5667)  4 Ga 2.56-2.80
Au (0.2500, 0.5527, 0.0077)  11 Ag 2.82-3.11

Results
DFT formation energy (eV/f.u.): 0.3
Polymorph energy (0 for the lowest one) (eV/atom): 0.063
Electronic total energy (eV for the cell shown): -106.20

Here is a relaxed Rb2BiI6Br crystal from Alexandria via LeMat-Bulk. Energies are from GGA-PBE.

a = 9.3075 Å, b = 9.3075 Å, c = 11.7450 Å
α = 90.00°, β = 90.00°, γ = 90.00°
Closest atoms and distances in Å follow each position.
Space group I4/mmm (No. 139)
Symmetry-distinct sites (fractional):
Rb (0.0000, 0.5000, 0.2500)  12 I 4.42-4.65
Bi (0.0000, 0.0000, 0.0000)  6 I 3.04-3.05
I (0.0000, 0.0000, 0.2592)  1 Br 2.83, 1 Bi 3.04
I (0.2319, 0.2319, 0.0000)  1 Bi 3.05
Br (0.0000, 0.0000, 0.5000)  2 I 2.83

Results
Formation energy without anion corrections (meV per atom): -678
Electronic total energy (eV for the cell shown): -47.14

Here is a relaxed CsRbGa12 crystal from Alexandria via LeMat-Bulk. Energies are from GGA-PBE.

a = 6.1149 Å, b = 6.1149 Å, c = 12.1619 Å
α = 90.00°, β = 90.00°, γ = 90.00°
Closest atoms and distances in Å follow each position.
Space group P4/mmm (No. 123)
Symmetry-distinct sites (fractional):
Cs (0.0000, 0.0000, 0.0000)  24 Ga 4.48-4.49
Rb (0.0000, 0.0000, 0.5000)  24 Ga 4.47-4.49
Ga (0.1960, 0.5000, 0.2503)  5 Ga 2.40-2.63
Ga (0.5000, 0.5000, 0.0984)  5 Ga 2.39-2.62
Ga (0.5000, 0.5000, 0.4018)  5 Ga 2.39-2.62

Results
DFT formation energy (eV/f.u.): -0.2
Electronic total energy (eV for the cell shown): -38.36

Here is a relaxed Np2CdCl8 crystal from Alexandria via LeMat-Bulk. Energies are from GGA-PBE.

a = 13.8112 Å, b = 8.1324 Å, c = 7.4365 Å
α = 90.00°, β = 116.43°, γ = 90.00°
Closest atoms and distances in Å follow each position.
Space group C2/m (No. 12)
Symmetry-distinct sites (fractional):
Np (0.1275, 0.0000, 0.0724)  4 Cl 2.51-2.79
Cd (0.0000, 0.0000, 0.5000)  6 Cl 2.56-2.76
Cl (0.0298, 0.2115, 0.2386)  1 Cd 2.76, 2 Np 2.79-2.93
Cl (0.1777, 0.5000, 0.6695)  1 Np 2.51
Cl (0.1959, 0.0000, 0.7751)  1 Cd 2.56, 1 Np 2.76

Results
Formation energy without anion corrections (meV per atom): -1385
Electronic total energy (eV for the cell shown): -113.60

Here is a relaxed NaSb3Pb crystal from Alexandria via LeMat-Bulk. Energies are from GGA-PBE.

a = 5.8761 Å, b = 5.8761 Å, c = 5.8761 Å
α = 90.00°, β = 90.00°, γ = 90.00°
Closest atoms and distances in Å follow each position.
Space group Pm-3m (No. 221)
Symmetry-distinct sites (fractional):
Na (0.0000, 0.0000, 0.0000)  12 Sb 4.16
Sb (0.0000, 0.5000, 0.5000)  2 Pb 2.94
Pb (0.5000, 0.5000, 0.5000)  6 Sb 2.94

Results
Formation energy without anion corrections (meV per atom): 605
Polymorph energy (0 for the lowest one) (eV/atom): 0.000
Electronic total energy (eV for the cell shown): -14.37

Here is a relaxed KSr2USe5 crystal from Alexandria via LeMat-Bulk. Energies are from GGA-PBE.

a = 5.3442 Å, b = 7.7316 Å, c = 14.8573 Å
α = 90.00°, β = 90.00°, γ = 90.00°
Closest atoms and distances in Å follow each position.
Space group Immm (No. 71)
Symmetry-distinct sites (fractional):
K (0.0000, 0.0000, 0.0000)  10 Se 3.87-3.91
Sr (0.0000, 0.5000, 0.2089)  7 Se 3.06-3.42
U (0.0000, 0.0000, 0.5000)  6 Se 2.67-2.74
Se (0.0000, 0.2389, 0.3636)  1 U 2.74, 1 Sr 3.06
Se (0.0000, 0.5000, 0.0000)  2 U 2.67

Results
Formation energy without anion corrections (meV per atom): -1512
Electronic total energy (eV for the cell shown): -93.55

Here is a relaxed HoHfFe2 crystal from Alexandria via LeMat-Bulk. Energies are from GGA-PBE.

a = 3.2050 Å, b = 3.2050 Å, c = 6.4967 Å
α = 90.00°, β = 90.00°, γ = 90.00°
Closest atoms and distances in Å follow each position.
Space group P4/mmm (No. 123)
Symmetry-distinct sites (fractional):
Ho (0.0000, 0.0000, 0.0000)  8 Fe 2.88, 4 Ho 3.21
Hf (0.0000, 0.0000, 0.5000)  8 Fe 2.70
Fe (0.5000, 0.5000, 0.2740)  4 Hf 2.70, 4 Ho 2.88, 1 Fe 2.94

Results
DFT formation energy (eV/f.u.): -0.2
Electronic total energy (eV for the cell shown): -31.70

Here is a relaxed PaFe4W crystal from Alexandria via LeMat-Bulk. Energies are from GGA-PBE.

a = 6.9372 Å, b = 6.9372 Å, c = 6.9372 Å
α = 90.00°, β = 90.00°, γ = 90.00°
Closest atoms and distances in Å follow each position.
Space group F-43m (No. 216)
Symmetry-distinct sites (fractional):
Pa (0.0000, 0.0000, 0.0000)  12 Fe 2.88, 4 W 3.00
Fe (0.1245, 0.1245, 0.3755)  6 Fe 2.44-2.46
W (0.2500, 0.2500, 0.7500)  12 Fe 2.88, 4 Pa 3.00

Results
DFT formation energy (eV/f.u.): 0.5
Electronic total energy (eV for the cell shown): -223.16

Here is a relaxed La5MgAg3 crystal from Alexandria via LeMat-Bulk. Energies are from GGA-PBE.

a = 16.1342 Å, b = 9.3231 Å, c = 7.1246 Å
α = 90.00°, β = 90.00°, γ = 90.00°
Closest atoms and distances in Å follow each position.
Space group Cmcm (No. 63)
Symmetry-distinct sites (fractional):
La (0.0000, 0.1891, 0.2500)  3 Ag 3.10-3.16, 2 Mg 3.40
La (0.1556, 0.3445, 0.7500)  3 Ag 3.10-3.16, 2 Mg 3.40
La (0.1665, 0.0000, 0.0000)  6 Ag 3.51-3.52, 8 La 3.56-3.68
Mg (0.0000, 0.5000, 0.0000)  6 La 3.40, 2 Mg 3.56, 6 Ag 3.72
Ag (0.0000, 0.1500, 0.7500)  3 La 3.10-3.16
Ag (0.1750, 0.3251, 0.2500)  3 La 3.10-3.16

Results
DFT formation energy (eV/f.u.): -0.9
Electronic total energy (eV for the cell shown): -142.58

Here is a relaxed MgSCl2 crystal from Alexandria via LeMat-Bulk. Energies are from GGA-PBE.

a = 6.8777 Å, b = 6.8777 Å, c = 6.8777 Å
α = 90.00°, β = 90.00°, γ = 90.00°
Closest atoms and distances in Å follow each position.
Space group Fm-3m (No. 225)
Symmetry-distinct sites (fractional):
Mg (0.0000, 0.0000, 0.0000)  8 Cl 2.98
S (0.0000, 0.0000, 0.5000)  8 Cl 2.98
Cl (0.2500, 0.2500, 0.2500)  4 S 2.98, 4 Mg 2.98

Results
Formation energy without anion corrections (meV per atom): -173
Polymorph energy (0 for the lowest one) (eV/atom): 0.589
Electronic total energy (eV for the cell shown): -40.43

Here is a relaxed RbNaTl2Pd crystal from Alexandria via LeMat-Bulk. Energies are from GGA-PBE.

a = 5.4042 Å, b = 5.4042 Å, c = 6.2723 Å
α = 90.00°, β = 90.00°, γ = 90.00°
Closest atoms and distances in Å follow each position.
Space group P4/mmm (No. 123)
Symmetry-distinct sites (fractional):
Rb (0.0000, 0.0000, 0.0000)  2 Pd 3.14
Na (0.5000, 0.5000, 0.0000)  4 Rb 3.82, 8 Tl 4.14
Tl (0.0000, 0.5000, 0.5000)  2 Pd 2.70
Pd (0.0000, 0.0000, 0.5000)  4 Tl 2.70

Results
DFT formation energy (eV/f.u.): -0.1
Polymorph energy (0 for the lowest one) (eV/atom): 0.116
Electronic total energy (eV for the cell shown): -12.29